This record from Alexandria describes a relaxed Ba2CrP2N6 crystal. The functional is GGA-PBE.

POSCAR file:
```
Ba2CrP2N6
1.0
2.8024 1.6180 5.7444
-2.8024 1.6180 5.7444
0.0000 -3.2359 5.7444
Ba Cr P N
2 1 2 6
Cartesian
0.0000 0.0000 3.7169
0.0000 0.0000 13.5163
0.0000 0.0000 0.0000
0.0000 0.0000 6.9285
0.0000 0.0000 10.3046
0.0000 -1.5826 6.9800
-1.3706 0.7913 6.9800
-1.3706 -0.7913 10.2532
1.3706 0.7913 6.9800
1.3706 -0.7913 10.2532
0.0000 1.5826 10.2532
```

Space-group type: No. 166
Electronic total energy: -7.26 eV/atom



This record from Alexandria describes a relaxed BaPaCrN3 crystal. The functional is GGA-PBE.

POSCAR file:
```
BaPaCrN3
1.0
7.6866 0.0000 0.0000
0.0000 3.6204 0.0000
-1.8641 0.0000 7.7621
Ba Pa Cr N
2 2 2 6
Cartesian
0.9920 0.9051 1.5960
4.8305 2.7153 6.1661
1.0770 2.7153 6.5004
4.7454 0.9051 1.2617
-0.4398 0.9051 4.5492
6.2622 2.7153 3.2129
0.1096 2.7153 4.2638
-0.4026 0.9051 6.5272
3.2397 2.7153 0.9740
2.5827 0.9051 6.7881
6.2251 2.7153 1.2349
5.7129 0.9051 3.4983
```

Space-group type: No. 11
Electronic total energy: -8.69 eV/atom



This record from Alexandria describes a relaxed Ba2PaCr2N6 crystal. The functional is GGA-PBE.

POSCAR file:
```
Ba2PaCr2N6
1.0
5.2858 -2.9864 0.0000
5.2858 2.9864 0.0000
-3.7540 0.0000 5.8512
Ba Pa Cr N
2 1 2 6
Cartesian
1.5757 0.0000 1.1251
5.2418 0.0000 4.7260
-1.8770 0.0000 2.9256
1.7836 0.0000 4.6576
5.0339 0.0000 1.1936
4.1074 1.4599 1.4183
0.2282 0.0000 3.9475
2.7101 1.4599 4.4328
4.1074 -1.4599 1.4183
6.5893 0.0000 1.9036
2.7101 -1.4599 4.4328
```

Space-group type: No. 12
Electronic total energy: -8.45 eV/atom



This record from Alexandria describes a relaxed BaPmCrN4 crystal. The functional is GGA-PBE.

POSCAR file:
```
BaPmCrN4
1.0
5.8988 0.0000 0.0000
0.0000 5.7398 0.0000
-2.1802 0.0000 7.1627
Ba Pm Cr N
2 2 2 8
Cartesian
0.3406 1.4350 3.0404
3.3779 4.3049 4.1223
-0.4033 1.4350 6.7886
4.1219 4.3049 0.3741
1.1745 4.3049 1.2620
2.5440 1.4350 5.9007
-0.2354 4.3049 2.3041
-1.5765 4.3049 6.8021
2.2266 2.9368 1.4765
2.2266 5.6729 1.4765
1.4919 0.0669 5.6862
1.4919 2.8030 5.6862
5.2950 1.4350 0.3605
3.9540 1.4350 4.8586
```

Space-group type: No. 11
Electronic total energy: -7.83 eV/atom



This record from Alexandria describes a relaxed BaPm2CrN4 crystal. The functional is GGA-PBE.

POSCAR file:
```
BaPm2CrN4
1.0
1.7734 -6.2613 0.0000
1.7734 6.2613 0.0000
0.0000 0.0000 12.0470
Ba Pm Cr N
2 4 2 8
Cartesian
1.7734 5.1956 9.0353
1.7734 -5.1956 3.0118
1.7734 1.6346 6.5309
1.7734 1.6346 11.5396
1.7734 -1.6346 0.5074
1.7734 -1.6346 5.5161
1.7734 3.9800 3.0118
1.7734 -3.9800 9.0353
0.0000 0.0000 0.0000
0.0000 0.0000 6.0235
1.7734 3.0334 1.5037
1.7734 3.0334 4.5198
1.7734 1.3658 9.0353
1.7734 -1.3658 3.0118
1.7734 -3.0334 7.5272
1.7734 -3.0334 10.5434
```

Space-group type: No. 63
Electronic total energy: -7.84 eV/atom



This record from Alexandria describes a relaxed Ba2PmCrN4 crystal. The functional is GGA-PBE.

POSCAR file:
```
Ba2PmCrN4
1.0
7.5734 0.0000 0.0000
0.0000 7.4520 0.0000
0.0000 0.0000 5.6592
Ba Pm Cr N
4 2 2 8
Cartesian
1.8785 1.1725 0.0000
1.9082 6.2795 2.8296
5.6651 6.2795 2.8296
5.6949 1.1725 0.0000
0.0000 2.7725 2.9416
3.7867 4.6795 0.1120
0.0000 4.8444 0.2500
3.7867 2.6076 3.0796
0.0000 3.1535 5.3165
0.0000 4.7942 2.0141
1.5160 5.7002 5.5152
2.2707 1.7518 2.6856
3.7867 2.6578 4.8437
3.7867 4.2985 2.4869
5.3027 1.7518 2.6856
6.0574 5.7002 5.5152
```

Space-group type: No. 31
Electronic total energy: -7.18 eV/atom



This record from Alexandria describes a relaxed Ba2PrCrN4 crystal. The functional is GGA-PBE.

POSCAR file:
```
Ba2PrCrN4
1.0
7.6262 0.0000 0.0000
0.0000 7.6019 0.0000
0.0000 0.0000 5.5499
Ba Pr Cr N
4 2 2 8
Cartesian
1.8633 1.1619 0.0000
1.9498 6.4401 2.7750
5.6763 6.4401 2.7750
5.7629 1.1619 0.0000
0.0000 2.9004 2.8612
3.8131 4.7015 0.0863
0.0000 4.9438 0.2984
3.8131 2.6581 3.0734
0.0000 3.1957 5.4431
0.0000 5.0071 2.0585
1.5181 5.7716 5.4105
2.2950 1.8304 2.6355
3.8131 2.5949 4.8335
3.8131 4.4062 2.6682
5.3312 1.8304 2.6355
6.1081 5.7716 5.4105
```

Space-group type: No. 31
Electronic total energy: -7.16 eV/atom



This record from Alexandria describes a relaxed BaPr2Cr2N6 crystal. The functional is GGA-PBE.

POSCAR file:
```
BaPr2Cr2N6
1.0
6.1258 0.0000 0.0000
-2.5514 5.6332 0.0000
-3.0401 -1.6907 5.7120
Ba Pr Cr N
1 2 2 6
Cartesian
0.0000 0.0000 0.0000
-0.2726 0.4862 3.9735
0.8069 3.4562 1.7386
-2.5004 2.6001 3.8924
3.0347 1.3424 1.8196
-3.6344 3.8686 3.9189
-2.6102 1.3297 5.0262
-0.8615 2.9539 3.5153
1.3958 0.9886 2.1967
3.1445 2.6127 0.6858
4.1687 0.0738 1.7931
```

Space-group type: No. 2
Electronic total energy: -8.12 eV/atom



This record from Alexandria describes a relaxed BaPrCrN3 crystal. The functional is GGA-PBE.

POSCAR file:
```
BaPrCrN3
1.0
6.7638 -1.9314 0.0000
6.7638 1.9314 0.0000
-2.1362 0.0000 7.4748
Ba Pr Cr N
2 2 2 6
Cartesian
1.7121 0.0000 0.5567
9.6794 0.0000 6.9181
0.8456 0.0000 4.2717
10.5458 0.0000 3.2031
6.0889 0.0000 2.2643
5.3026 0.0000 5.2105
-0.5848 0.0000 2.2499
3.3175 0.0000 4.8583
4.4585 0.0000 1.5126
6.9330 0.0000 5.9622
8.0740 0.0000 2.6164
11.9762 0.0000 5.2249
```

Space-group type: No. 12
Electronic total energy: -7.59 eV/atom



This record from Alexandria describes a relaxed Ba2PuCr2N6 crystal. The functional is GGA-PBE.

POSCAR file:
```
Ba2PuCr2N6
1.0
3.0022 1.7333 5.8731
-3.0022 1.7333 5.8731
0.0000 -3.4667 5.8731
Ba Pu Cr N
2 1 2 6
Cartesian
0.0000 0.0000 3.9972
0.0000 0.0000 13.6221
0.0000 0.0000 0.0000
0.0000 0.0000 7.5797
0.0000 0.0000 10.0395
0.0000 -1.6836 7.2364
-1.4581 0.8418 7.2364
-1.4581 -0.8418 10.3829
1.4581 0.8418 7.2364
1.4581 -0.8418 10.3829
0.0000 1.6836 10.3829
```

Space-group type: No. 166
Electronic total energy: -8.73 eV/atom



This record from Alexandria describes a relaxed BaPuCrN4 crystal. The functional is GGA-PBE.

POSCAR file:
```
BaPuCrN4
1.0
5.7624 0.0000 0.0000
0.0000 5.6421 0.0000
-2.2341 0.0000 7.0942
Ba Pu Cr N
2 2 2 8
Cartesian
0.2799 1.4105 3.0111
3.2483 4.2316 4.0830
-0.4963 1.4105 6.7413
4.0245 4.2316 0.3529
1.1328 4.2316 1.1849
2.3954 1.4105 5.9093
-1.7771 4.2316 6.7109
-0.3005 4.2316 2.2050
2.2333 2.8684 1.3398
2.2333 5.5947 1.3398
1.2949 0.0474 5.7543
1.2949 2.7737 5.7543
3.8287 1.4105 4.8892
5.3053 1.4105 0.3832
```

Space-group type: No. 11
Electronic total energy: -9.26 eV/atom



This record from Alexandria describes a relaxed Ba2PuCrN5 crystal. The functional is GGA-PBE.

POSCAR file:
```
Ba2PuCrN5
1.0
1.7779 -7.6563 0.0000
1.7779 7.6563 0.0000
0.0000 0.0000 11.4784
Ba Pu Cr N
4 2 2 10
Cartesian
1.7779 5.9071 5.7392
1.7779 5.5282 1.7466
1.7779 -5.5282 7.4858
1.7779 -5.9071 0.0000
1.7779 4.6612 9.7866
1.7779 -4.6612 4.0474
1.7779 0.7922 2.9520
1.7779 -0.7922 8.6912
1.7779 6.9183 9.4659
1.7779 3.1161 5.3352
1.7779 2.7061 9.5584
1.7779 2.5783 2.6084
1.7779 0.0235 1.5034
1.7779 -0.0235 7.2425
1.7779 -2.5783 8.3476
1.7779 -2.7061 3.8192
1.7779 -3.1161 11.0744
1.7779 -6.9183 3.7267
```

Space-group type: No. 36
Electronic total energy: -8.43 eV/atom